Record 1
Density functional theory data (PBE-GGA) for an optimized crystal structure of SrTl2H2.

Calculated values
* crystal system: tetragonal
* DFT total energy: -2.42 eV per atom
* space group: I4/mmm, No. 139
* ΔE to the lowest computed polymorph: 0.302 eV per atom

Cell lengths 4.295, 4.295, 6.776 Å; angles 71.52, 71.52, 90.00 degrees
Sites, in units of the cell vectors:
H: 0.750 0.250 0.500
Tl: 0.664 0.664 0.671
Tl: 0.336 0.336 0.329
H: 0.250 0.750 0.500
Sr: 0.000 0.000 0.000

=====

Record 2
Density functional theory data (PBE-GGA) for an optimized crystal structure of Sr6Tl2H.

Calculated values
* crystal system: monoclinic
* DFT total energy: -2.30 eV per atom
* space group: P2_1/c, No. 14

Cell lengths 7.428, 8.577, 10.831 Å; angles 90.00, 91.20, 90.00 degrees
Sites, in units of the cell vectors:
Tl: 0.459 0.105 0.252
Sr: 0.668 0.185 0.943
Tl: 0.541 0.895 0.748
Sr: 0.679 0.175 0.555
Sr: 0.168 0.315 0.443
Sr: 0.321 0.825 0.445
Sr: 0.391 0.525 0.753
Sr: 0.332 0.815 0.057
Sr: 0.832 0.685 0.557
H: 0.500 0.500 0.000
Sr: 0.891 0.975 0.253
Sr: 0.109 0.025 0.747
Tl: 0.959 0.395 0.752
Sr: 0.821 0.675 0.945
Tl: 0.041 0.605 0.248
Sr: 0.179 0.325 0.055
H: 0.000 0.000 0.500
Sr: 0.609 0.475 0.247

=====

Record 3
Density functional theory data (PBE-GGA) for an optimized crystal structure of Sr6Tl3H2.

Calculated values
* crystal system: tetragonal
* DFT total energy: -2.49 eV per atom
* space group: I4/mmm, No. 139

Cell lengths 5.338, 5.338, 13.396 Å; angles 101.49, 101.49, 90.00 degrees
Sites, in units of the cell vectors:
H: 0.400 0.400 0.799
Tl: 0.167 0.167 0.334
Sr: 0.702 0.702 0.403
H: 0.600 0.600 0.201
Tl: 0.000 0.000 0.000
Sr: 0.919 0.419 0.838
Sr: 0.081 0.581 0.162
Tl: 0.833 0.833 0.666
Sr: 0.581 0.081 0.162
Sr: 0.298 0.298 0.597
Sr: 0.419 0.919 0.838

=====

Record 4
Density functional theory data (PBE-GGA) for an optimized crystal structure of Sr3TlH2.

Calculated values
* crystal system: orthorhombic
* DFT total energy: -2.77 eV per atom
* space group: Cmcm, No. 63

Cell lengths 5.519, 7.999, 7.999 Å; angles 105.16, 90.00, 90.00 degrees
Sites, in units of the cell vectors:
H: 0.000 0.154 0.154
H: 0.500 0.846 0.846
Sr: 0.250 0.818 0.591
H: 0.500 0.154 0.154
H: 0.000 0.846 0.846
Sr: 0.250 0.409 0.182
Tl: 0.250 0.300 0.700
Sr: 0.250 0.894 0.106
Sr: 0.750 0.591 0.818
Tl: 0.750 0.700 0.300
Sr: 0.750 0.106 0.894
Sr: 0.750 0.182 0.409

=====

Record 5
Density functional theory data (PBE-GGA) for an optimized crystal structure of Sr12Tl5H2.

Calculated values
* crystal system: monoclinic
* DFT total energy: -2.26 eV per atom
* space group: C2/m, No. 12

Cell lengths 9.995, 9.594, 10.005 Å; angles 107.83, 90.00, 121.39 degrees
Sites, in units of the cell vectors:
H: 0.845 0.000 0.000
Sr: 0.496 0.993 0.283
Sr: 0.150 0.719 0.952
Tl: 0.296 0.592 0.633
Sr: 0.902 0.310 0.588
Sr: 0.408 0.310 0.588
Tl: 0.733 0.465 0.848
Sr: 0.504 0.007 0.717
Sr: 0.057 0.114 0.214
Tl: 0.000 0.000 0.500
H: 0.155 0.000 0.000
Sr: 0.431 0.281 0.048
Sr: 0.098 0.690 0.412
Sr: 0.850 0.281 0.048
Sr: 0.569 0.719 0.952
Tl: 0.704 0.408 0.367
Sr: 0.592 0.690 0.412
Tl: 0.267 0.535 0.152
Sr: 0.943 0.886 0.786

=====

Record 6
Density functional theory data (PBE-GGA) for an optimized crystal structure of SrTl2H.

Calculated values
* crystal system: tetragonal
* DFT total energy: -2.34 eV per atom
* space group: I-42d, No. 122
* ΔE to the lowest computed polymorph: 0.000 eV per atom

Cell lengths 7.047, 7.047, 6.759 Å; angles 58.58, 58.58, 90.00 degrees
Sites, in units of the cell vectors:
Sr: 0.750 0.250 0.500
Tl: 0.375 0.516 0.750
Tl: 0.875 0.734 0.750
H: 0.500 0.500 0.000
Tl: 0.266 0.625 0.250
H: 0.250 0.750 0.500
Sr: 0.000 0.000 0.000
Tl: 0.484 0.125 0.250

=====

Record 7
Density functional theory data (PBE-GGA) for an optimized crystal structure of Sr3TlH.

Calculated values
* crystal system: orthorhombic
* DFT total energy: -2.48 eV per atom
* space group: Cmcm, No. 63
* ΔE to the lowest computed polymorph: 0.000 eV per atom

Cell lengths 4.314, 7.788, 10.723 Å; angles 90.00, 90.00, 106.08 degrees
Sites, in units of the cell vectors:
Sr: 0.144 0.787 0.568
Tl: 0.772 0.044 0.750
H: 0.039 0.577 0.750
Sr: 0.856 0.213 0.432
Sr: 0.856 0.213 0.068
Tl: 0.228 0.956 0.250
Sr: 0.547 0.594 0.250
Sr: 0.453 0.406 0.750
H: 0.961 0.423 0.250
Sr: 0.144 0.787 0.932

=====

Record 8
Density functional theory data (PBE-GGA) for an optimized crystal structure of Sr5Tl2H2.

Calculated values
* crystal system: monoclinic
* DFT total energy: -2.54 eV per atom
* space group: C2/m, No. 12

Cell lengths 5.884, 7.332, 7.129 Å; angles 98.34, 90.00, 113.66 degrees
Sites, in units of the cell vectors:
Sr: 0.154 0.308 0.542
Tl: 0.423 0.845 0.670
Sr: 0.334 0.668 0.097
Sr: 0.846 0.692 0.458
Sr: 0.666 0.332 0.903
H: 0.834 0.668 0.108
Sr: 0.000 0.000 0.000
H: 0.166 0.332 0.892
Tl: 0.577 0.155 0.330

=====

We obtain magnetic moment values of 0.0; 1.4; 0.0; 0.0; 0.0; 0.0; 1.3; 0.0 μB/cell for the records listed above, in that order.